Entry 1:
A relaxed structure of LaTbZn2Au5, computed with PBE.

Structure (POSCAR):
```
LaTbZn2Au5
1.0
-4.3099 0.9009 -1.2335
1.0156 -1.0681 -4.3285
-2.2784 -8.6947 1.6108
Au Zn Tb La
5 2 1 1
direct
0.5000 0.0000 0.2601
0.0000 0.5000 0.7399
0.0000 0.5000 0.2601
0.5000 0.0000 0.7399
0.5000 0.5000 0.5000
0.5000 0.5000 0.8693
0.5000 0.5000 0.1307
0.0000 0.0000 0.0000
0.0000 0.0000 0.5000
```

Results
The energy of formation comes out at -508 meV/atom. Its crystal system is tetragonal. The calculation puts the total magnetic moment at 0.00 μB per formula unit.

Entry 2:
A relaxed structure of KGa2Sn4, computed with PBE.

Structure (POSCAR):
```
KGa2Sn4
1.0
-2.0342 2.2929 -5.0280
3.9459 -3.1484 -3.0321
-3.7865 -5.8415 -4.5802
Ga Sn K
2 4 1
direct
0.4126 0.4126 0.1748
0.5874 0.5874 0.8252
0.2301 0.2301 0.5398
0.0000 0.5000 0.0000
0.7699 0.7699 0.4602
0.5000 0.0000 0.0000
0.0000 0.0000 0.0000
```

Results
Its energy above the most stable polymorph in this dataset is 701 meV per atom. The energy of formation comes out at 651 meV/atom. Its crystal system is tetragonal. The calculation puts the total magnetic moment at 0.00 μB per formula unit.

Entry 3:
A relaxed structure of MgNi2BiP, computed with PBE.

Structure (POSCAR):
```
MgNi2BiP
1.0
-2.7285 -2.3747 2.1966
4.2798 -1.8851 3.2782
-0.6380 3.2122 2.6802
Bi Ni P Mg
1 2 1 1
direct
0.0000 0.5000 0.0000
0.0000 0.0000 0.5000
0.5000 0.0000 0.0000
0.0000 0.0000 0.0000
0.5000 0.5000 0.5000
```

Results
Its energy above the most stable polymorph in this dataset is 0 meV per atom. The energy of formation comes out at 175 meV/atom. Its crystal system is tetragonal. The calculation puts the total magnetic moment at 0.00 μB per formula unit.

Entry 4:
A relaxed structure of CoSi2Au, computed with PBE.

Structure (POSCAR):
```
CoSi2Au
1.0
4.3279 0.0000 0.0000
2.1639 3.7480 0.0000
2.1639 1.2493 3.5337
Si Au Co
2 1 1
direct
0.0000 0.0000 0.0000
0.2500 0.2500 0.2500
0.5000 0.5000 0.5000
0.7500 0.7500 0.7500
```

Results
Its energy above the most stable polymorph in this dataset is 536 meV per atom. For the formation energy from raw total energies, the calculation gives 0.4133 eV/atom. Its crystal system is cubic. The calculation puts the total magnetic moment at 0.00 μB per formula unit.

Entry 5:
A relaxed structure of Al2AgRu, computed with PBE.

Structure (POSCAR):
```
Al2AgRu
1.0
-1.4815 -2.6745 8.3621
-3.8198 -3.7864 7.0954
-1.3346 -5.2463 7.0688
Ag Al Ru
1 2 1
direct
0.7491 0.7491 0.7491
0.9989 0.9989 0.9989
0.2454 0.2454 0.2454
0.5065 0.5065 0.5065
```

Results
The energy of formation comes out at -20 meV/atom. Its crystal system is trigonal. The calculation puts the total magnetic moment at 0.00 μB per formula unit.

Entry 6:
A relaxed structure of Pr2TmZn2, computed with PBE.

Structure (POSCAR):
```
Pr2TmZn2
1.0
3.5493 0.0000 0.0000
0.0000 3.5928 0.6807
0.0000 -0.1045 10.3730
Pr Zn Tm
2 2 1
direct
0.0000 0.8267 0.3466
0.0000 0.1733 0.6534
0.5000 0.5786 0.8427
0.5000 0.4214 0.1573
0.0000 0.0000 0.0000
```

Results
Its energy above the most stable polymorph in this dataset is 0 meV per atom. The energy of formation comes out at -201 meV/atom. Its crystal system is orthorhombic. The calculation puts the total magnetic moment at 0.00 μB per formula unit.

Entry 7:
A relaxed structure of Ba12Ge3N5, computed with PBE.

Structure (POSCAR):
```
Ba12Ge3N5
1.0
15.4108 0.0000 0.0000
-5.1369 14.5295 0.0000
-5.1369 -7.2647 12.5829
Ba N Ge
48 20 12
direct
0.5206 0.2019 0.1197
0.6812 0.2019 0.5821
0.1812 0.0821 0.7019
0.0821 0.9009 0.3803
0.1197 0.4179 0.0991
0.9794 0.5991 0.1812
0.4794 0.7981 0.8803
0.0206 0.6197 0.7019
0.5991 0.9794 0.6812
0.5206 0.3188 0.9009
0.5821 0.7019 0.6812
0.6812 0.4794 0.5991
0.0821 0.1812 0.2019
0.0991 0.9179 0.1197
0.3803 0.9794 0.7981
0.3803 0.4009 0.0821
0.4179 0.1197 0.5991
0.0991 0.1812 0.4794
0.9009 0.0821 0.8803
0.1197 0.7019 0.5206
0.8188 0.9179 0.2981
0.2019 0.5206 0.6197
0.3188 0.7981 0.4179
0.7981 0.4794 0.3803
0.8803 0.5821 0.9009
0.7981 0.3188 0.9179
0.4179 0.2981 0.3188
0.2981 0.4179 0.8188
0.5991 0.6197 0.4179
0.4794 0.6812 0.0991
0.9794 0.3803 0.2981
0.0206 0.4009 0.8188
0.4009 0.3803 0.5821
0.9009 0.8188 0.5206
0.8803 0.2981 0.4794
0.4009 0.0206 0.3188
0.1812 0.0991 0.9794
0.8188 0.9009 0.0206
0.3188 0.5206 0.4009
0.2981 0.8803 0.9794
0.9179 0.0991 0.6197
0.2019 0.6812 0.0821
0.9179 0.8188 0.7981
0.5821 0.8803 0.4009
0.6197 0.5991 0.9179
0.6197 0.0206 0.2019
0.7019 0.1197 0.0206
0.7019 0.5821 0.1812
0.6250 0.8750 0.2500
0.8750 0.6250 0.7500
0.0000 0.0000 0.5000
0.1250 0.3750 0.2500
0.2500 0.3750 0.6250
0.5000 0.0000 0.5000
0.5000 0.0000 0.0000
0.6250 0.7500 0.8750
0.0000 0.0000 0.0000
0.3750 0.2500 0.1250
0.7500 0.1250 0.8750
0.0000 0.5000 0.0000
0.0000 0.5000 0.5000
0.2500 0.8750 0.1250
0.1250 0.7500 0.3750
0.3750 0.1250 0.7500
0.8750 0.2500 0.6250
0.5000 0.5000 0.5000
0.7500 0.6250 0.3750
0.5000 0.5000 0.0000
0.6250 0.3750 0.7500
0.2500 0.1250 0.3750
0.8750 0.1250 0.2500
0.8750 0.7500 0.1250
0.3750 0.6250 0.2500
0.7500 0.3750 0.1250
0.7500 0.8750 0.6250
0.6250 0.2500 0.3750
0.1250 0.2500 0.8750
0.1250 0.8750 0.7500
0.3750 0.7500 0.6250
0.2500 0.6250 0.8750
```

Results
For the formation energy from raw total energies, the calculation gives -0.3244 eV/atom. Its crystal system is cubic. The calculation puts the total magnetic moment at 3.21 μB per formula unit.

Entry 8:
A relaxed structure of YBO, computed with PBE.

Structure (POSCAR):
```
YBO
1.0
-0.2502 -2.5565 -1.8962
-0.8361 -3.7677 5.1901
-7.4853 1.0575 -0.4382
Y B O
4 4 4
direct
0.7500 0.8405 0.6745
0.2500 0.1595 0.3255
0.2500 0.6595 0.1745
0.7500 0.3405 0.8255
0.2500 0.0078 0.9921
0.7500 0.9922 0.0079
0.7500 0.4922 0.4921
0.2500 0.5078 0.5079
0.2500 0.5809 0.8587
0.2500 0.0809 0.6413
0.7500 0.4191 0.1413
0.7500 0.9191 0.3587
```

Results
Its energy above the most stable polymorph in this dataset is 133 meV per atom. For the formation energy from raw total energies, the calculation gives -1.7415 eV/atom. Its crystal system is orthorhombic. The calculation puts the total magnetic moment at 0.00 μB per formula unit.

Entry 9:
A relaxed structure of CoNiSn4, computed with PBE.

Structure (POSCAR):
```
CoNiSn4
1.0
5.4700 0.5312 0.0000
-0.7696 6.4555 0.0000
-2.3502 -3.4933 7.0439
Sn Co Ni
8 2 2
direct
0.9218 0.2466 0.8695
0.0782 0.7534 0.1305
0.5524 0.3771 0.1305
0.3393 0.9851 0.6665
0.8272 0.6814 0.6665
0.4476 0.6229 0.8695
0.6607 0.0149 0.3335
0.1728 0.3186 0.3335
0.7752 0.0252 0.0504
0.2248 0.9748 0.9496
0.5548 0.3048 0.6095
0.4452 0.6952 0.3905
```

Results
Its energy above the most stable polymorph in this dataset is 70 meV per atom. The energy of formation comes out at -60 meV/atom. Its crystal system is monoclinic. The calculation puts the total magnetic moment at 0.00 μB per formula unit.

Entry 10:
A relaxed structure of Pm3Sn3Au8, computed with PBE.

Structure (POSCAR):
```
Pm3Sn3Au8
1.0
4.4706 0.0000 0.0000
2.2353 8.6265 -0.0509
2.2353 2.2996 8.3145
Au Pm Sn
8 3 3
direct
0.3582 0.9316 0.3520
0.6418 0.0684 0.6480
0.1604 0.2116 0.4675
0.1604 0.4675 0.2116
0.6418 0.6480 0.0684
0.8396 0.5325 0.7884
0.8396 0.7884 0.5325
0.3582 0.3520 0.9316
0.5000 0.5000 0.5000
0.2041 0.7959 0.7959
0.7959 0.2041 0.2041
0.5000 0.0000 0.0000
0.0000 0.2135 0.7865
0.0000 0.7865 0.2135
```

Results
The energy of formation comes out at -537 meV/atom. Its crystal system is orthorhombic. The calculation puts the total magnetic moment at 0.00 μB per formula unit.

Entry 11:
A relaxed structure of Pm2GaCu3Ge4, computed with PBE.

Structure (POSCAR):
```
Pm2GaCu3Ge4
1.0
-3.3704 -1.3221 -2.1329
0.2646 -3.7389 1.8994
-6.1499 3.4235 7.5959
Pm Ga Ge Cu
2 1 4 3
direct
0.5000 0.0000 0.2448
0.0000 0.5000 0.7552
0.5000 0.5000 0.5000
0.5000 0.5000 0.0000
0.0000 0.5000 0.3574
0.5000 0.0000 0.6426
0.0000 0.0000 0.0000
0.5000 0.0000 0.8714
0.0000 0.0000 0.5000
0.0000 0.5000 0.1286
```

Results
The energy of formation comes out at -470 meV/atom. Its crystal system is tetragonal. The calculation puts the total magnetic moment at 0.00 μB per formula unit.

Entry 12:
A relaxed structure of Li3Pr2HoS6, computed with PBE.

Structure (POSCAR):
```
Li3Pr2HoS6
1.0
6.9948 -0.0141 0.0171
-3.5079 6.0516 0.0171
-1.1497 -1.9907 6.2010
Pr Ho Li S
2 1 3 6
direct
0.3323 0.6677 0.0000
0.6677 0.3323 0.0000
0.0000 0.0000 0.0000
0.8464 0.1536 0.5000
0.5000 0.5000 0.5000
0.1536 0.8464 0.5000
0.0833 0.4038 0.2549
0.5962 0.9167 0.7451
0.4038 0.0833 0.2549
0.9167 0.5962 0.7451
0.7601 0.7601 0.2530
0.2399 0.2399 0.7470
```

Results
For the formation energy from raw total energies, the calculation gives -1.7887 eV/atom. Its crystal system is monoclinic. The calculation puts the total magnetic moment at 0.00 μB per formula unit.

Entry 13:
A relaxed structure of Cd2Hg4Pb3, computed with PBE.

Structure (POSCAR):
```
Cd2Hg4Pb3
1.0
5.6547 1.9451 0.7796
2.1923 11.7875 4.1341
0.4857 1.1706 8.3809
Hg Cd Pb
8 4 6
direct
0.6410 0.8969 0.2369
0.3170 0.5888 0.8326
0.3590 0.1031 0.7631
0.1895 0.6911 0.1923
0.8105 0.3089 0.8077
0.9039 0.8536 0.5562
0.6830 0.4112 0.1674
0.0961 0.1464 0.4438
0.1147 0.4543 0.1979
0.5804 0.1743 0.4002
0.4196 0.8257 0.5998
0.8853 0.5457 0.8021
0.6744 0.5862 0.4358
0.0322 0.0349 0.1630
0.9678 0.9651 0.8370
0.3660 0.2256 0.0327
0.3256 0.4138 0.5642
0.6340 0.7744 0.9673
```

Results
The energy of formation comes out at 40 meV/atom. Its crystal system is triclinic. The calculation puts the total magnetic moment at 0.00 μB per formula unit.

Entry 14:
A relaxed structure of Be2CrFe, computed with PBE.

Structure (POSCAR):
```
Be2CrFe
1.0
-1.4981 1.8686 -0.0247
-0.8620 -0.6628 2.1341
4.6987 3.8078 3.0806
Be Cr Fe
2 1 1
direct
0.0000 0.0000 0.9919
0.0000 0.0000 0.5081
0.5000 0.5000 0.2500
0.5000 0.5000 0.7500
```

Results
Its energy above the most stable polymorph in this dataset is 100 meV per atom. The energy of formation comes out at -47 meV/atom. Its crystal system is tetragonal. The calculation puts the total magnetic moment at 2.17 μB per formula unit.

Entry 15:
A relaxed structure of Pm6AsIr2Cl3, computed with PBE.

Structure (POSCAR):
```
Pm6AsIr2Cl3
1.0
7.2398 0.0026 0.0037
-3.6158 6.2722 0.0037
-1.2049 -2.0862 7.3026
Pm Cl Ir As
6 3 2 1
direct
0.5807 0.9303 0.7913
0.2803 0.2803 0.7918
0.7197 0.7197 0.2082
0.0697 0.4193 0.2087
0.9303 0.5807 0.7913
0.4193 0.0697 0.2087
0.8394 0.1606 0.5000
0.1606 0.8394 0.5000
0.5000 0.5000 0.5000
0.6670 0.3330 0.0000
0.3330 0.6670 0.0000
0.0000 0.0000 0.0000
```

Results
For the formation energy from raw total energies, the calculation gives -1.2869 eV/atom. Its crystal system is monoclinic. The calculation puts the total magnetic moment at 0.00 μB per formula unit.

Entry 16:
A relaxed structure of LaMgAs2, computed with PBE.

Structure (POSCAR):
```
LaMgAs2
1.0
-1.9018 0.4954 4.6987
-3.5599 -3.2415 1.6612
1.1512 -3.4269 3.5876
La As Mg
1 2 1
direct
0.5000 0.5000 0.5000
0.2500 0.2500 0.2500
0.0000 0.0000 0.0000
0.7500 0.7500 0.7500
```

Results
The energy of formation comes out at -305 meV/atom. Its crystal system is cubic. The calculation puts the total magnetic moment at 0.00 μB per formula unit.

Entry 17:
A relaxed structure of Ta2ZnCr, computed with PBE.

Structure (POSCAR):
```
Ta2ZnCr
1.0
-0.7327 -3.5863 2.5345
2.3608 -1.2611 -1.1020
3.3411 1.6400 3.2865
Cr Zn Ta
1 1 2
direct
0.5000 0.6220 0.7954
0.0000 0.6420 0.4741
0.0000 0.0093 0.9467
0.5000 0.2267 0.2838
```

Results
The energy of formation comes out at 153 meV/atom. Its crystal system is monoclinic. The calculation puts the total magnetic moment at 0.46 μB per formula unit.

Entry 18:
A relaxed structure of CaCdAg, computed with PBE.

Structure (POSCAR):
```
CaCdAg
1.0
-5.6183 -0.6111 -0.8126
-3.2218 -3.9355 2.5943
3.9452 3.9775 1.1018
Ag Cd Ca
1 1 1
direct
0.0112 0.0112 0.0000
0.6525 0.6525 0.0000
0.3363 0.3363 0.0000
```

Results
The energy of formation comes out at -277 meV/atom. Its crystal system is tetragonal. The calculation puts the total magnetic moment at 0.00 μB per formula unit.

Entry 19:
A relaxed structure of DySi2Pt7, computed with PBE.

Structure (POSCAR):
```
DySi2Pt7
1.0
3.9672 0.0000 -0.7634
-0.1469 3.9644 -0.7634
-0.0364 -0.0377 10.5014
Dy Pt Si
1 7 2
direct
0.0000 0.0000 0.0000
0.7500 0.2500 0.5000
0.6072 0.1072 0.2143
0.1072 0.6072 0.2143
0.2500 0.7500 0.5000
0.3928 0.8928 0.7857
0.5000 0.5000 0.0000
0.8928 0.3928 0.7857
0.3236 0.3236 0.6471
0.6764 0.6764 0.3529
```

Results
For the formation energy from raw total energies, the calculation gives -0.8804 eV/atom. Its crystal system is tetragonal. The calculation puts the total magnetic moment at 0.00 μB per formula unit.

Entry 20:
A relaxed structure of TbVC, computed with PBE.

Structure (POSCAR):
```
TbVC
1.0
4.3133 0.0000 0.0000
0.0000 3.5785 0.0000
0.0000 -1.7892 3.0990
C V Tb
1 1 1
direct
0.1675 0.3333 0.6667
0.1664 0.0000 0.0000
0.6660 0.6667 0.3333
```

Results
Its energy above the most stable polymorph in this dataset is 0 meV per atom. The energy of formation comes out at 112 meV/atom. Its crystal system is trigonal. The calculation puts the total magnetic moment at 2.00 μB per formula unit.